# 1
{"formula": "HfZrHgRh", "functional": "PBE-GGA", "state": "relaxed", "lattice": [[3.290, 0.000, 0.000], [0.000, 3.290, 0.000], [0.000, 0.000, 7.289]], "species": ["Hf", "Zr", "Hg", "Rh"], "fractional_positions": [[0.000, 0.000, 0.000], [0.000, 0.000, 0.553], [0.500, 0.500, 0.272], [0.500, 0.500, 0.800]], "ef_mev_per_atom": -444.1, "space_group": "No. 99"}

# 2
{"formula": "YTaZn2", "functional": "PBE-GGA", "state": "relaxed", "lattice": [[3.077, 0.000, 0.000], [0.000, 3.077, 0.000], [0.000, 0.000, 8.026]], "species": ["Y", "Ta", "Zn", "Zn"], "fractional_positions": [[0.000, 0.000, 0.000], [0.500, 0.500, 0.701], [0.000, 0.000, 0.472], [0.500, 0.500, 0.281]], "e_above_lowest_polymorph_mev_per_atom": 86, "ef_mev_per_atom": 54.1, "space_group": "No. 99"}

# 3
{"formula": "VSi2IN", "functional": "PBE-GGA", "state": "relaxed", "lattice": [[5.181, 0.000, 0.000], [0.000, 5.181, 0.000], [0.000, 0.000, 3.912]], "species": ["V", "Si", "Si", "I", "N"], "fractional_positions": [[0.000, 0.000, 0.000], [0.000, 0.500, 0.500], [0.500, 0.000, 0.500], [0.500, 0.500, 0.500], [0.500, 0.500, 0.000]], "formation_energy_uncorrected_ev_per_fu": 10.78, "space_group": "No. 123"}

# 4
{"formula": "TbYTmAg", "functional": "PBE-GGA", "state": "relaxed", "lattice": [[3.550, 0.000, 0.000], [0.000, 3.550, 0.000], [0.000, 0.000, 8.854]], "species": ["Tb", "Y", "Tm", "Ag"], "fractional_positions": [[0.000, 0.000, 0.000], [0.500, 0.500, 0.710], [0.500, 0.500, 0.283], [0.000, 0.000, 0.487]], "e_above_lowest_polymorph_mev_per_atom": 0, "ef_mev_per_atom": -136.4, "space_group": "No. 99"}

# 5
{"formula": "LaNi2Os", "functional": "PBE-GGA", "state": "relaxed", "lattice": [[2.903, -3.658, 0.000], [2.903, 3.658, 0.000], [0.000, 0.000, 2.977]], "species": ["La", "Ni", "Ni", "Os"], "fractional_positions": [[0.000, 0.000, 0.000], [0.000, 0.500, 0.500], [0.500, 0.000, 0.500], [0.500, 0.500, 0.000]], "e_above_lowest_polymorph_mev_per_atom": 370, "ef_mev_per_atom": 235.4, "space_group": "No. 65"}

# 6
{"formula": "PuAlSe", "functional": "PBE-GGA", "state": "relaxed", "lattice": [[2.387, 1.378, 7.553], [-2.387, 1.378, 7.553], [0.000, -2.757, 7.553]], "species": ["Pu", "Pu", "Al", "Al", "Se", "Se"], "fractional_positions": [[0.082, 0.082, 0.082], [0.918, 0.918, 0.918], [0.331, 0.331, 0.331], [0.669, 0.669, 0.669], [0.217, 0.217, 0.217], [0.783, 0.783, 0.783]], "formation_energy_uncorrected_ev_per_fu": -2.36, "space_group": "No. 166"}

# 7
{"formula": "BeTlPt3", "functional": "PBE-GGA", "state": "relaxed", "lattice": [[4.348, 0.000, 0.000], [0.000, 4.348, 0.000], [0.000, 0.000, 4.348]], "species": ["Be", "Tl", "Pt", "Pt", "Pt"], "fractional_positions": [[0.000, 0.000, 0.000], [0.500, 0.500, 0.500], [0.000, 0.000, 0.500], [0.000, 0.500, 0.000], [0.500, 0.000, 0.000]], "e_above_lowest_polymorph_mev_per_atom": 0, "ef_mev_per_atom": -37.4, "space_group": "No. 221"}

# 8
{"formula": "Nd11Ho4Tm9", "functional": "PBE-GGA", "state": "relaxed", "lattice": [[8.440, -12.806, 0.000], [8.440, 12.806, 0.000], [0.000, 0.000, 3.649]], "species": ["Nd", "Nd", "Nd", "Nd", "Nd", "Nd", "Nd", "Nd", "Nd", "Nd", "Nd", "Ho", "Ho", "Ho", "Ho", "Tm", "Tm", "Tm", "Tm", "Tm", "Tm", "Tm", "Tm", "Tm"], "fractional_positions": [[0.000, 0.000, 0.000], [0.043, 0.405, 0.000], [0.160, 0.840, 0.000], [0.292, 0.292, 0.000], [0.368, 0.632, 0.000], [0.405, 0.043, 0.000], [0.595, 0.957, 0.000], [0.632, 0.368, 0.000], [0.708, 0.708, 0.000], [0.840, 0.160, 0.000], [0.957, 0.595, 0.000], [0.241, 0.444, 0.500], [0.444, 0.241, 0.500], [0.556, 0.759, 0.500], [0.759, 0.556, 0.500], [0.068, 0.214, 0.500], [0.166, 0.631, 0.500], [0.214, 0.068, 0.500], [0.369, 0.834, 0.500], [0.500, 0.500, 0.500], [0.631, 0.166, 0.500], [0.786, 0.932, 0.500], [0.834, 0.369, 0.500], [0.932, 0.786, 0.500]], "ef_mev_per_atom": 56.1, "space_group": "No. 65"}